Version a
## Tb3CdOs (PBE)

Data for a relaxed Tb3CdOs crystal.

The structure in POSCAR format:
```
Tb3CdOs
1.0
7.4280 0.0000 0.0000
0.0000 4.4648 0.0000
-2.5388 0.0000 8.3322
Tb Cd Os
6 2 2
Direct
0.0695 0.2500 0.2801
0.2951 0.2500 0.9266
0.3375 0.7500 0.5956
0.6625 0.2500 0.4044
0.7049 0.7500 0.0734
0.9305 0.7500 0.7199
0.3388 0.7500 0.2004
0.6612 0.2500 0.7996
0.0971 0.2500 0.6084
0.9029 0.7500 0.3916
```

---

Version b
## Tb3CdOs (PBE)

Data for a relaxed Tb3CdOs crystal.

The structure in POSCAR format:
```
Tb3CdOs
1.0
0.0000 4.8874 8.0693
3.2678 0.0000 8.0693
3.2678 4.8874 0.0000
Tb Cd Os
6 2 2
Direct
0.1989 0.5803 0.4197
0.2014 0.2014 0.7986
0.4197 0.8011 0.1989
0.5803 0.1989 0.8011
0.7986 0.7986 0.2014
0.8011 0.4197 0.5803
0.2079 0.7921 0.7921
0.7921 0.2079 0.2079
0.2500 0.2500 0.2500
0.7500 0.7500 0.7500
```

---

According to the calculations, the structures order from most to least stable as version b, version a.

---

Version a
## Tb6CdOs (PBE)

Data for a relaxed Tb6CdOs crystal.

The structure in POSCAR format:
```
Tb6CdOs
1.0
5.0527 0.0000 0.0000
0.0000 5.0527 0.0000
0.0000 0.0000 17.3807
Tb Cd Os
12 2 2
Direct
0.0000 0.0000 0.2490
0.0000 0.0000 0.7510
0.0000 0.5000 0.0998
0.0000 0.5000 0.4002
0.0000 0.5000 0.5998
0.0000 0.5000 0.9002
0.5000 0.0000 0.0998
0.5000 0.0000 0.4002
0.5000 0.0000 0.5998
0.5000 0.0000 0.9002
0.5000 0.5000 0.2510
0.5000 0.5000 0.7490
0.0000 0.0000 0.0000
0.5000 0.5000 0.5000
0.0000 0.0000 0.5000
0.5000 0.5000 0.0000
```

---

Version b
## Tb6CdOs (PBE)

Data for a relaxed Tb6CdOs crystal.

The structure in POSCAR format:
```
Tb6CdOs
1.0
6.8775 0.0000 0.0000
-3.4368 5.9865 0.0000
-3.4046 -1.9886 6.4066
Tb Cd Os
6 1 1
Direct
0.0395 0.0823 0.2573
0.2995 0.7172 0.2565
0.3224 0.5415 0.7435
0.6776 0.4585 0.2565
0.7005 0.2828 0.7435
0.9605 0.9177 0.7427
0.5000 0.0000 0.0000
0.5000 0.5000 0.5000
```

---

According to the calculations, the structures order from most to least stable as version a, version b.

---

Version a
## Cd2Te2Os (PBE)

Data for a relaxed Cd2Te2Os crystal.

The structure in POSCAR format:
```
Cd2Te2Os
1.0
4.0295 0.0000 0.0000
0.0000 4.0295 0.0000
0.0000 0.0000 17.1560
Cd Te Os
4 4 2
Direct
0.0000 0.0000 0.0783
0.0000 0.0000 0.9217
0.5000 0.5000 0.4217
0.5000 0.5000 0.5783
0.0000 0.5000 0.2500
0.0000 0.5000 0.7500
0.5000 0.0000 0.2500
0.5000 0.0000 0.7500
0.0000 0.0000 0.5000
0.5000 0.5000 0.0000
```

---

Version b
## Cd2Te2Os (PBE)

Data for a relaxed Cd2Te2Os crystal.

The structure in POSCAR format:
```
Cd2Te2Os
1.0
7.4803 0.0000 0.0000
0.0000 7.4803 0.0000
0.0000 0.0000 4.1626
Cd Te Os
4 4 2
Direct
0.1349 0.3651 0.0000
0.3651 0.8651 0.0000
0.6349 0.1349 0.0000
0.8651 0.6349 0.0000
0.1828 0.6828 0.5000
0.3172 0.1828 0.5000
0.6828 0.8172 0.5000
0.8172 0.3172 0.5000
0.0000 0.0000 0.0000
0.5000 0.5000 0.0000
```

---

According to the calculations, the structures order from most to least stable as version b, version a.

---

Version a
## CdTeOs2 (PBE)

Data for a relaxed CdTeOs2 crystal.

The structure in POSCAR format:
```
CdTeOs2
1.0
2.9030 0.0000 0.0000
0.0000 5.0988 0.0000
0.0000 0.0000 10.7391
Cd Te Os
2 2 4
Direct
0.0000 0.0000 0.0000
0.5000 0.5000 0.0000
0.0000 0.5000 0.3386
0.5000 0.0000 0.3386
0.0000 0.0000 0.5668
0.0000 0.5000 0.7631
0.5000 0.0000 0.7631
0.5000 0.5000 0.5668
```

---

Version b
## CdTeOs2 (PBE)

Data for a relaxed CdTeOs2 crystal.

The structure in POSCAR format:
```
CdTeOs2
1.0
3.0134 0.0000 0.0000
0.0000 4.7745 0.0000
0.0000 0.0000 5.0224
Cd Te Os
1 1 2
Direct
0.0000 0.0000 0.0000
0.5000 0.0000 0.5000
0.0000 0.5000 0.5000
0.5000 0.5000 0.0000
```

---

According to the calculations, the structures order from most to least stable as version a, version b.

---

Version a
## Th4CdOs (PBE)

Data for a relaxed Th4CdOs crystal.

The structure in POSCAR format:
```
Th4CdOs
1.0
4.4022 -7.5688 0.0000
4.4022 7.5688 0.0000
-3.3556 0.0000 5.7801
Th Cd Os
8 2 2
Direct
0.0503 0.6104 0.8353
0.1666 0.2705 0.7246
0.2705 0.1666 0.2246
0.3896 0.9497 0.6647
0.6104 0.0503 0.3353
0.7295 0.8334 0.7754
0.8334 0.7295 0.2754
0.9497 0.3896 0.1647
0.3932 0.6068 0.2500
0.6068 0.3932 0.7500
0.0830 0.9170 0.7500
0.9170 0.0830 0.2500
```

---

Version b
## Th4CdOs (PBE)

Data for a relaxed Th4CdOs crystal.

The structure in POSCAR format:
```
Th4CdOs
1.0
0.0000 7.0119 7.0119
7.0119 0.0000 7.0119
7.0119 7.0119 0.0000
Th Cd Os
16 4 4
Direct
0.1835 0.1835 0.8165
0.1835 0.8165 0.1835
0.1835 0.8165 0.8165
0.4034 0.4034 0.4034
0.4034 0.4034 0.7898
0.4034 0.7898 0.4034
0.5544 0.5544 0.9456
0.5544 0.9456 0.5544
0.5544 0.9456 0.9456
0.7898 0.4034 0.4034
0.8165 0.1835 0.1835
0.8165 0.1835 0.8165
0.8165 0.8165 0.1835
0.9456 0.5544 0.5544
0.9456 0.5544 0.9456
0.9456 0.9456 0.5544
0.1721 0.1721 0.1721
0.1721 0.1721 0.4837
0.1721 0.4837 0.1721
0.4837 0.1721 0.1721
0.1688 0.6104 0.6104
0.6104 0.1688 0.6104
0.6104 0.6104 0.1688
0.6104 0.6104 0.6104
```

---

According to the calculations, the structures order from most to least stable as version b, version a.

---

Version a
## Ti2CdOs2 (PBE)

Data for a relaxed Ti2CdOs2 crystal.

The structure in POSCAR format:
```
Ti2CdOs2
1.0
7.4805 0.0000 0.0000
0.0000 7.4805 0.0000
0.0000 0.0000 2.9924
Ti Cd Os
4 2 4
Direct
0.1503 0.3497 0.0000
0.3497 0.8497 0.0000
0.6503 0.1503 0.0000
0.8497 0.6503 0.0000
0.0000 0.0000 0.5000
0.5000 0.5000 0.5000
0.1418 0.6418 0.5000
0.3582 0.1418 0.5000
0.6418 0.8582 0.5000
0.8582 0.3582 0.5000
```

---

Version b
## Ti2CdOs2 (PBE)

Data for a relaxed Ti2CdOs2 crystal.

The structure in POSCAR format:
```
Ti2CdOs2
1.0
7.5650 0.0000 0.0000
0.0000 7.5650 0.0000
0.0000 0.0000 2.9195
Ti Cd Os
4 2 4
Direct
0.1406 0.3594 0.0000
0.3594 0.8594 0.0000
0.6406 0.1406 0.0000
0.8594 0.6406 0.0000
0.0000 0.0000 0.0000
0.5000 0.5000 0.0000
0.1526 0.6526 0.5000
0.3474 0.1526 0.5000
0.6526 0.8474 0.5000
0.8474 0.3474 0.5000
```

---

According to the calculations, the structures order from most to least stable as version a, version b.